The following is a GGA-PBE calculation of a relaxed RbAg2PdCl8 crystal, from the Alexandria database.

Cell lengths 5.862, 6.055, 10.424 Å; angles 76.89, 89.36, 86.13 degrees
Positions (direct):
Rb  0.000  0.000  0.500
Ag  0.455  0.513  0.812
Ag  0.545  0.487  0.188
Pd  0.000  0.000  0.000
Cl  0.187  0.745  0.185
Cl  0.713  0.740  0.995
Cl  0.811  0.147  0.173
Cl  0.813  0.255  0.815
Cl  0.287  0.260  0.005
Cl  0.189  0.853  0.827
Cl  0.534  0.718  0.595
Cl  0.466  0.282  0.405

**Spin magnetization**: 0.0 Bohr magnetons per cell
**Energy**: -2.84 eV/atom
**D(E_F)**: 0.41 states/eV per atom
**Raw formation energy**: -618 meV per atom

The following is a GGA-PBE calculation of a relaxed PuIn5Hg8 crystal, from the Alexandria database.

Cell lengths 7.873, 7.873, 7.873 Å; angles 109.06, 109.06, 110.30 degrees
Last column: magnetic moment on the atom in μB.
Positions (direct):
Pu  0.250  0.750  0.500  5.58
In  0.871  0.260  0.891  0.01
In  0.740  0.632  0.611  0.01
In  0.368  0.980  0.109  0.01
In  0.500  0.500  0.000  0.00
In  0.020  0.129  0.389  0.01
Hg  0.959  0.722  0.081  0.01
Hg  0.278  0.359  0.237  0.01
Hg  0.634  0.888  0.407  0.01
Hg  0.112  0.519  0.746  0.01
Hg  0.773  0.366  0.254  0.01
Hg  0.121  0.041  0.763  0.01
Hg  0.641  0.879  0.919  0.01
Hg  0.481  0.227  0.593  0.01

**Spin magnetization**: 6.1 Bohr magnetons per cell
**Energy**: -2.17 eV/atom
**D(E_F)**: 1.49 states/eV per atom
**Calculated formation energy**: 3.4 meV/atom

The following is a GGA-PBE calculation of a relaxed Hf2CuIr crystal, from the Alexandria database.

Cell lengths 7.301, 7.301, 5.885 Å; angles 51.66, 51.66, 90.00 degrees
Positions (direct):
Ir  0.000  0.000  0.000
Ir  0.750  0.250  0.500
Hf  0.641  0.125  0.250
Hf  0.109  0.625  0.250
Hf  0.375  0.359  0.750
Hf  0.875  0.891  0.750
Cu  0.500  0.500  0.000
Cu  0.250  0.750  0.500

**Spin magnetization**: 0.0 Bohr magnetons per cell
**Energy relative to the lowest polymorph listed for this composition**: 0.554 eV/atom
**Energy**: -8.24 eV/atom
**D(E_F)**: 1.00 states/eV per atom
**Calculated formation energy**: -19.3 meV/atom

The following is a GGA-PBE calculation of a relaxed FeWS3 crystal, from the Alexandria database.

Cell lengths 4.271, 4.271, 4.271 Å; angles 90.00, 90.00, 90.00 degrees
Positions (direct):
S  0.000  0.500  0.000
S  0.000  0.000  0.500
S  0.500  0.000  0.000
Fe  0.000  0.000  0.000
W  0.500  0.500  0.500

**Spin magnetization**: 0.0 Bohr magnetons per cell
**Energy relative to the lowest polymorph listed for this composition**: 0.445 eV/atom
**Energy**: -5.81 eV/atom
**D(E_F)**: 1.05 states/eV per atom
**Raw formation energy**: 954 meV per atom

> spin magnetization of number 3 (Hf2CuIr)?

0.0 Bohr magnetons per cell